## SrMgTl14 (GGA-PBE)

Data for a relaxed SrMgTl14 crystal.

## Properties
**Symmetry**: Amm2

Cell lengths 6.8366, 6.8366, 11.0270 Å; angles 90.00, 90.00, 109.17 degrees
Last column: nearest neighbours and their distance in Å.
Atoms (fractional coordinates):
Tl: 0.6406 0.3594 0.0000  8 Tl 3.31-3.43
Tl: 0.3727 0.6273 0.2655  1 Mg 3.42, 8 Tl 3.43-3.47
Tl: 0.8585 0.5825 0.7455  1 Mg 3.30, 8 Tl 3.31-3.58, 1 Sr 3.51
Tl: 0.9037 0.0963 0.2359  9 Tl 3.37-3.60, 1 Sr 3.71
Tl: 0.1505 0.3857 0.0000  9 Tl 3.37-3.67
Tl: 0.3727 0.6273 0.7345  1 Mg 3.42, 8 Tl 3.43-3.47
Tl: 0.4175 0.1415 0.2545  1 Mg 3.30, 8 Tl 3.31-3.58, 1 Sr 3.51
Tl: 0.9037 0.0963 0.7641  9 Tl 3.37-3.60, 1 Sr 3.71
Tl: 0.6273 0.9483 0.5000  7 Tl 3.36-3.52, 2 Mg 3.41-3.46, 2 Sr 3.42-3.45
Tl: 0.4175 0.1415 0.7455  1 Mg 3.30, 8 Tl 3.31-3.58, 1 Sr 3.51
Tl: 0.8585 0.5825 0.2545  1 Mg 3.30, 8 Tl 3.31-3.58, 1 Sr 3.51
Tl: 0.0517 0.3727 0.5000  7 Tl 3.36-3.52, 2 Mg 3.41-3.46, 2 Sr 3.42-3.45
Tl: 0.1274 0.8726 0.0000  10 Tl 3.38-3.60
Tl: 0.6143 0.8495 0.0000  9 Tl 3.37-3.67
Sr: 0.1103 0.8897 0.5000  10 Tl 3.42-3.71
Mg: 0.5732 0.4268 0.5000  10 Tl 3.30-3.46

***

## SrMg2Tl (GGA-PBE)

Data for a relaxed SrMg2Tl crystal.

## Properties
**Relative energy among the computed polymorphs**: 248 meV/atom
**Symmetry**: R-3m

Cell lengths 10.7238, 10.7238, 10.7238 Å; angles 20.04, 20.04, 20.04 degrees
Last column: nearest neighbours and their distance in Å.
Atoms (fractional coordinates):
Mg: 0.9911 0.9911 0.9911  3 Tl 3.18
Mg: 0.5089 0.5089 0.5089  3 Tl 3.18
Sr: 0.7500 0.7500 0.7500  6 Mg 3.62, 6 Sr 3.73
Tl: 0.2500 0.2500 0.2500  6 Mg 3.18

***

## SrMg2Tl7 (GGA-PBE)

Data for a relaxed SrMg2Tl7 crystal.

## Properties
**Symmetry**: Cmmm

Cell lengths 5.2261, 8.8764, 8.8764 Å; angles 121.29, 90.00, 90.00 degrees
Last column: nearest neighbours and their distance in Å.
Atoms (fractional coordinates):
Tl: 0.0000 0.7690 0.2310  2 Mg 2.87
Tl: 0.5000 0.5000 0.5000  2 Mg 2.99
Tl: 0.5000 0.9398 0.6893  2 Mg 2.93-3.24, 1 Tl 3.23
Tl: 0.0000 0.2310 0.7690  2 Mg 2.87
Tl: 0.5000 0.3107 0.0602  2 Mg 2.93-3.24, 1 Tl 3.23
Tl: 0.5000 0.0602 0.3107  2 Mg 2.93-3.24, 1 Tl 3.23
Tl: 0.5000 0.6893 0.9398  2 Mg 2.93-3.24, 1 Tl 3.23
Sr: 0.0000 0.0000 0.0000  10 Tl 3.57-3.63
Mg: 0.5000 0.6930 0.3070  5 Tl 2.87-2.99
Mg: 0.5000 0.3070 0.6930  5 Tl 2.87-2.99

***

## SrMg2Tl (GGA-PBE)

Data for a relaxed SrMg2Tl crystal.

## Properties
**Relative energy among the computed polymorphs**: 36 meV/atom
**Symmetry**: P4mm

Cell lengths 3.8227, 3.8227, 7.9506 Å; angles 90.00, 90.00, 90.00 degrees
Last column: nearest neighbours and their distance in Å.
Atoms (fractional coordinates):
Mg: 0.5000 0.5000 0.2011  4 Mg 3.15, 1 Tl 3.25
Mg: 0.0000 0.0000 0.9985  4 Mg 3.15, 4 Tl 3.16
Sr: 0.0000 0.0000 0.5082  4 Tl 3.52, 5 Mg 3.64-3.90, 4 Sr 3.82
Tl: 0.5000 0.5000 0.7922  5 Mg 3.16-3.25, 4 Sr 3.52

***

## Sr2Mg16Tl (GGA-PBE)

Data for a relaxed Sr2Mg16Tl crystal.

## Properties
**Symmetry**: R3m

Cell lengths 7.9568, 7.9568, 7.9568 Å; angles 82.90, 82.90, 82.90 degrees
Last column: nearest neighbours and their distance in Å.
Atoms (fractional coordinates):
Mg: 0.6507 0.1631 0.6507  8 Mg 3.02-3.20, 1 Tl 3.32
Mg: 0.0006 0.3012 0.7006  8 Mg 3.02-3.20
Mg: 0.8443 0.3481 0.3481  9 Mg 3.02-3.34
Mg: 0.0932 0.0932 0.0932  1 Tl 3.04, 6 Mg 3.22-3.34
Mg: 0.3481 0.8443 0.3481  9 Mg 3.02-3.34
Mg: 0.4978 0.0020 0.0020  9 Mg 3.02-3.22, 1 Tl 3.21
Mg: 0.0020 0.0020 0.4978  9 Mg 3.02-3.22, 1 Tl 3.21
Mg: 0.0020 0.4978 0.0020  9 Mg 3.02-3.22, 1 Tl 3.21
Mg: 0.0006 0.7006 0.3012  8 Mg 3.02-3.20
Mg: 0.7006 0.3012 0.0006  8 Mg 3.02-3.20
Mg: 0.7006 0.0006 0.3012  8 Mg 3.02-3.20
Mg: 0.3012 0.0006 0.7006  8 Mg 3.02-3.20
Mg: 0.1631 0.6507 0.6507  8 Mg 3.02-3.20, 1 Tl 3.32
Mg: 0.3481 0.3481 0.8443  9 Mg 3.02-3.34
Mg: 0.3012 0.7006 0.0006  8 Mg 3.02-3.20
Mg: 0.6507 0.6507 0.1631  8 Mg 3.02-3.20, 1 Tl 3.32
Sr: 0.3356 0.3356 0.3356  19 Mg 3.70-4.07
Sr: 0.6640 0.6640 0.6640  1 Tl 3.56, 12 Mg 3.70-3.95
Tl: 0.8956 0.8956 0.8956  7 Mg 3.04-3.32

***

## SrMg2Tl (GGA-PBE)

Data for a relaxed SrMg2Tl crystal.

## Properties
**Relative energy among the computed polymorphs**: 0 meV/atom
**Symmetry**: Cmcm

Cell lengths 4.9016, 9.6400, 10.5430 Å; angles 90.00, 90.00, 104.73 degrees
Last column: nearest neighbours and their distance in Å.
Atoms (fractional coordinates):
Sr: 0.6895 0.3791 0.2500  4 Tl 3.52, 9 Mg 3.62-3.67
Sr: 0.3105 0.6209 0.7500  4 Tl 3.52, 9 Mg 3.62-3.67
Sr: 0.5000 0.0000 0.5000  4 Tl 3.61, 6 Mg 3.70-3.81
Sr: 0.5000 0.0000 0.0000  4 Tl 3.61, 6 Mg 3.70-3.81
Tl: 0.1414 0.2828 0.0257  5 Mg 2.95-3.11
Tl: 0.8586 0.7172 0.9743  5 Mg 2.95-3.11
Tl: 0.8586 0.7172 0.5257  5 Mg 2.95-3.11
Tl: 0.1414 0.2828 0.4743  5 Mg 2.95-3.11
Mg: 0.6970 0.3940 0.5967  3 Tl 2.96-3.11, 1 Mg 3.23
Mg: 0.3030 0.6060 0.0967  3 Tl 2.96-3.11, 1 Mg 3.23
Mg: 0.3030 0.6060 0.4033  3 Tl 2.96-3.11, 1 Mg 3.23
Mg: 0.6970 0.3940 0.9033  3 Tl 2.96-3.11, 1 Mg 3.23
Mg: 0.1139 0.2277 0.7500  2 Tl 2.95, 1 Mg 2.99
Mg: 0.9536 0.9072 0.7500  2 Tl 2.95, 1 Mg 2.99
Mg: 0.8861 0.7723 0.2500  2 Tl 2.95, 1 Mg 2.99
Mg: 0.0464 0.0928 0.2500  2 Tl 2.95, 1 Mg 2.99

***

## Sr2Mg3Tl8 (GGA-PBE)

Data for a relaxed Sr2Mg3Tl8 crystal.

## Properties
**Symmetry**: C2/m

Cell lengths 6.1277, 7.9848, 9.3124 Å; angles 115.39, 98.04, 90.00 degrees
Last column: nearest neighbours and their distance in Å.
Atoms (fractional coordinates):
Tl: 0.1644 0.8486 0.6972  3 Mg 3.02-3.29, 1 Sr 3.22, 2 Tl 3.35
Tl: 0.0024 0.6326 0.2651  2 Mg 3.28, 5 Tl 3.41-3.62, 1 Sr 3.45
Tl: 0.5300 0.6011 0.8117  2 Mg 2.93-3.18, 2 Tl 3.12-3.25
Tl: 0.5300 0.2106 0.8117  2 Mg 2.93-3.18, 2 Tl 3.12-3.25
Tl: 0.8356 0.1514 0.3028  3 Mg 3.02-3.29, 1 Sr 3.22, 2 Tl 3.35
Tl: 0.9976 0.3674 0.7349  2 Mg 3.28, 5 Tl 3.41-3.62, 1 Sr 3.45
Tl: 0.4700 0.7894 0.1883  2 Mg 2.93-3.18, 2 Tl 3.12-3.25
Tl: 0.4700 0.3989 0.1883  2 Mg 2.93-3.18, 2 Tl 3.12-3.25
Sr: 0.6481 0.7731 0.5462  7 Tl 3.22-3.45
Sr: 0.3519 0.2269 0.4538  7 Tl 3.22-3.45
Mg: 0.0000 0.8007 0.0000  6 Tl 3.18-3.29, 3 Mg 3.18-3.45
Mg: 0.5000 0.0000 0.0000  6 Tl 2.93-3.02
Mg: 0.0000 0.1993 0.0000  6 Tl 3.18-3.29, 3 Mg 3.18-3.45

***

## Sr3Mg2Tl9 (GGA-PBE)

Data for a relaxed Sr3Mg2Tl9 crystal.

## Properties
**Symmetry**: Immm

Cell lengths 4.9710, 9.7131, 9.7131 Å; angles 74.55, 75.17, 75.17 degrees
Last column: nearest neighbours and their distance in Å.
Atoms (fractional coordinates):
Mg: 0.5000 0.6648 0.3352  8 Tl 3.06-3.39
Mg: 0.5000 0.3352 0.6648  8 Tl 3.06-3.39
Tl: 0.3679 0.9982 0.2660  1 Mg 3.06, 4 Tl 3.12-3.26
Tl: 0.0000 0.5000 0.5000  4 Mg 3.15, 4 Tl 3.32
Tl: 0.3679 0.2660 0.9982  1 Mg 3.06, 4 Tl 3.12-3.26
Tl: 0.1531 0.5554 0.1384  4 Tl 3.12-3.32, 2 Mg 3.39
Tl: 0.8469 0.8616 0.4446  4 Tl 3.12-3.32, 2 Mg 3.39
Tl: 0.6321 0.7340 0.0018  1 Mg 3.06, 4 Tl 3.12-3.26
Tl: 0.6321 0.0018 0.7340  1 Mg 3.06, 4 Tl 3.12-3.26
Tl: 0.8469 0.4446 0.8616  4 Tl 3.12-3.32, 2 Mg 3.39
Tl: 0.1531 0.1384 0.5554  4 Tl 3.12-3.32, 2 Mg 3.39
Sr: 0.2861 0.7139 0.7139  12 Tl 3.60-4.00, 2 Mg 3.68
Sr: 0.0000 0.0000 0.0000  8 Tl 3.52
Sr: 0.7139 0.2861 0.2861  12 Tl 3.60-4.00, 2 Mg 3.68

***

## SrMgTl3 (GGA-PBE)

Data for a relaxed SrMgTl3 crystal.

## Properties
**Symmetry**: Pnma

Cell lengths 4.9432, 10.1479, 12.0310 Å; angles 90.00, 90.00, 90.00 degrees
Last column: nearest neighbours and their distance in Å.
Atoms (fractional coordinates):
Tl: 0.7500 0.9124 0.6033  3 Mg 2.97-3.08, 2 Tl 3.18-3.27
Tl: 0.2500 0.3924 0.3096  4 Tl 3.18-3.47, 2 Mg 3.18, 2 Sr 3.48
Tl: 0.2500 0.8677 0.7995  2 Mg 2.91-2.93
Tl: 0.7500 0.6076 0.6904  4 Tl 3.18-3.47, 2 Mg 3.18, 2 Sr 3.48
Tl: 0.7500 0.6323 0.2995  2 Mg 2.91-2.93
Tl: 0.7500 0.4124 0.8967  3 Mg 2.97-3.08, 2 Tl 3.18-3.27
Tl: 0.2500 0.0876 0.3967  3 Mg 2.97-3.08, 2 Tl 3.18-3.27
Tl: 0.7500 0.1323 0.2005  2 Mg 2.91-2.93
Tl: 0.2500 0.3677 0.7005  2 Mg 2.91-2.93
Tl: 0.2500 0.5876 0.1033  3 Mg 2.97-3.08, 2 Tl 3.18-3.27
Tl: 0.7500 0.1076 0.8096  4 Tl 3.18-3.47, 2 Mg 3.18, 2 Sr 3.48
Tl: 0.2500 0.8924 0.1904  4 Tl 3.18-3.47, 2 Mg 3.18, 2 Sr 3.48
Sr: 0.2500 0.6935 0.4999  7 Tl 3.48-3.82, 2 Mg 3.75
Sr: 0.7500 0.3065 0.5001  7 Tl 3.48-3.82, 2 Mg 3.75
Sr: 0.7500 0.8065 0.9999  7 Tl 3.48-3.82, 2 Mg 3.75
Sr: 0.2500 0.1935 0.0001  7 Tl 3.48-3.82, 2 Mg 3.75
Mg: 0.2500 0.0871 0.6436  7 Tl 2.91-3.18
Mg: 0.7500 0.4129 0.1436  7 Tl 2.91-3.18
Mg: 0.7500 0.9129 0.3564  7 Tl 2.91-3.18
Mg: 0.2500 0.5871 0.8564  7 Tl 2.91-3.18

***

## Sr2MgTl (GGA-PBE)

Data for a relaxed Sr2MgTl crystal.

## Properties
**Symmetry**: C2/m

Cell lengths 5.8044, 5.8044, 7.2006 Å; angles 78.64, 78.64, 40.79 degrees
Last column: nearest neighbours and their distance in Å.
Atoms (fractional coordinates):
Mg: 0.2500 0.2500 0.2500  6 Sr 3.58-3.61
Tl: 0.7500 0.7500 0.7500  6 Sr 3.51-3.55
Sr: 0.0034 0.0034 0.9903  3 Tl 3.51-3.55, 3 Mg 3.58-3.61
Sr: 0.4966 0.4966 0.5097  3 Tl 3.51-3.55, 3 Mg 3.58-3.61

***

## SrMg2Tl (GGA-PBE)

Data for a relaxed SrMg2Tl crystal.

## Properties
**Relative energy among the computed polymorphs**: 100 meV/atom
**Symmetry**: P2/m

Cell lengths 5.2796, 3.8189, 6.1050 Å; angles 84.43, 90.00, 90.00 degrees
Last column: nearest neighbours and their distance in Å.
Atoms (fractional coordinates):
Tl: 0.5000 0.7500 0.7500  4 Mg 3.05
Sr: 0.5000 0.2500 0.2500  4 Tl 3.44-3.75, 8 Mg 3.56-3.68, 2 Sr 3.82
Mg: 0.0000 0.8188 0.9918  2 Tl 3.05, 2 Mg 3.05-3.15
Mg: 0.0000 0.6812 0.5082  2 Tl 3.05, 2 Mg 3.05-3.15

***

## SrMg2Tl (GGA-PBE)

Data for a relaxed SrMg2Tl crystal.

## Properties
**Relative energy among the computed polymorphs**: 80 meV/atom
**Symmetry**: C2/m

Cell lengths 6.5192, 6.5192, 5.5462 Å; angles 64.70, 64.70, 34.70 degrees
Last column: nearest neighbours and their distance in Å.
Atoms (fractional coordinates):
Tl: 0.2500 0.2500 0.2500  4 Mg 3.16, 4 Sr 3.39
Sr: 0.7500 0.7500 0.7500  4 Tl 3.39, 8 Mg 3.63-3.73
Mg: 0.5260 0.5260 0.4739  2 Tl 3.16, 4 Mg 3.44
Mg: 0.9740 0.9740 0.0261  2 Tl 3.16, 4 Mg 3.44

***

| no. | V (Å³ per atom) | magnetization (μB per cell) | DFT total energy (eV per atom) |
| --- | --- | --- | --- |
| 1 | 30.42 | 0.0 | -2.33 |
| 2 | 31.67 | 0.0 | -1.74 |
| 3 | 35.19 | 0.0 | -2.06 |
| 4 | 29.05 | 0.0 | -1.95 |
| 5 | 25.95 | 0.0 | -1.71 |
| 6 | 30.11 | 0.0 | -1.99 |
| 7 | 31.28 | 0.0 | -2.15 |
| 8 | 30.57 | 0.0 | -2.32 |
| 9 | 30.18 | 0.0 | -2.28 |
| 10 | 38.74 | 0.0 | -1.89 |
| 11 | 30.63 | 0.0 | -1.89 |
| 12 | 29.99 | 0.0 | -1.91 |